UAs2Pd4 | GGA-PBE | optimized geometry

```
UAs2Pd4
1.0
4.107 0.000 0.000
0.000 7.705 0.000
0.000 0.000 7.705
Pd As U
8 4 2
direct
0.500 0.842 0.407 Pd
0.500 0.158 0.593 Pd
0.500 0.407 0.842 Pd
0.500 0.593 0.158 Pd
0.000 0.907 0.658 Pd
0.000 0.093 0.342 Pd
0.000 0.658 0.907 Pd
0.000 0.342 0.093 Pd
0.000 0.784 0.216 As
0.500 0.716 0.716 As
0.000 0.216 0.784 As
0.500 0.284 0.284 As
0.500 0.000 0.000 U
0.000 0.500 0.500 U
```

Results
The formation energy comes out at -0.508 eV per atom.